# 1
Density functional theory data (PBE) for KInSn after structural relaxation.

Lattice parameters (Å, degrees): 14.037 4.448 6.900 90.00 90.00 90.00
Atoms (fractional coordinates):
1 K 0.222 0.250 0.046
2 K 0.278 0.750 0.546
3 K 0.722 0.250 0.454
4 K 0.778 0.750 0.954
5 In 0.036 0.750 0.850
6 In 0.464 0.250 0.350
7 In 0.536 0.750 0.650
8 In 0.964 0.250 0.150
9 Sn 0.075 0.250 0.522
10 Sn 0.425 0.750 0.022
11 Sn 0.575 0.250 0.978
12 Sn 0.925 0.750 0.478

Calculated values
Formation energy from the elements: -35 kJ/mol of formula units


# 2
Density functional theory data (PBE) for KIn2Sn6 after structural relaxation.

Lattice parameters (Å, degrees): 11.808 11.808 5.551 103.53 103.53 46.05
Atoms (fractional coordinates):
1 K 0.185 0.815 0.750
2 K 0.815 0.185 0.250
3 In 0.191 0.354 0.025
4 In 0.354 0.191 0.525
5 In 0.646 0.809 0.475
6 In 0.809 0.646 0.975
7 Sn 0.011 0.246 0.878
8 Sn 0.089 0.563 0.577
9 Sn 0.246 0.011 0.378
10 Sn 0.360 0.493 0.175
11 Sn 0.437 0.911 0.923
12 Sn 0.493 0.360 0.675
13 Sn 0.507 0.640 0.325
14 Sn 0.563 0.089 0.077
15 Sn 0.640 0.507 0.825
16 Sn 0.754 0.989 0.622
17 Sn 0.911 0.437 0.423
18 Sn 0.989 0.754 0.122

Calculated values
Relative energy among the computed polymorphs: 0.000 eV per atom
Formation energy from the elements: -31 kJ/mol of formula units